Here is an optimized crystal structure of Bi4PtRh2 from Alexandria via LeMat-Bulk. Energies are from PBE. Values from VASP.

Cell and atoms, written as Quantum ESPRESSO input:
```
&SYSTEM
  ibrav = 0, nat = 14, ntyp = 3
/
ATOMIC_SPECIES
Bi 208.98 Bi.upf
Rh 102.91 Rh.upf
Pt 195.08 Pt.upf
CELL_PARAMETERS angstrom
-5.2510 -0.4032 4.7805
4.4920 -5.3893 1.1689
4.1105 6.9692 1.4676
ATOMIC_POSITIONS crystal
Bi 0.1910 0.1994 0.6578
Bi 0.2976 0.8004 0.3338
Bi 0.1994 0.1910 0.1578
Bi 0.7167 0.7140 0.6667
Bi 0.7140 0.7167 0.1667
Bi 0.7917 0.2835 0.3425
Bi 0.2835 0.7917 0.8425
Bi 0.8004 0.2976 0.8338
Rh 0.7433 0.9935 0.9917
Rh 0.5019 0.2520 0.5089
Rh 0.9935 0.7433 0.4917
Rh 0.2520 0.5019 0.0089
Pt 0.2632 0.5132 0.5001
Pt 0.5132 0.2632 0.0001
```

Summary:
Calculated formation energy = -0.18 eV/atom
Total magnetization = 0.0 μB per cell
V = 341 Å³ per cell